La2CeNiS5: relaxed, PBE-GGA.

a b c (Å): 3.9316 8.5709 12.1854
angles (deg): 90.00 90.00 103.26
Each line ends with the local moment (μB).
Positions (direct):
1 La 0.8847 0.7694 0.8491  0.00
2 La 0.1160 0.2320 0.6961  0.00
3 La 0.1153 0.2306 0.3491  0.00
4 La 0.8840 0.7680 0.1961  0.00
5 Ce 0.8240 0.6480 0.5265  -0.36
6 Ce 0.1760 0.3520 0.0265  -0.36
7 Ni 0.5534 0.1067 0.9193  0.16
8 Ni 0.4466 0.8933 0.4193  0.16
9 S 0.3430 0.6861 0.0215  0.01
10 S 0.6830 0.3660 0.8639  0.01
11 S 0.4947 0.9895 0.7528  0.01
12 S 0.3017 0.6034 0.6901  0.01
13 S 0.9834 0.9668 0.5046  0.02
14 S 0.6570 0.3139 0.5215  0.01
15 S 0.3170 0.6340 0.3639  0.01
16 S 0.5053 0.0105 0.2528  0.01
17 S 0.6983 0.3966 0.1901  0.01
18 S 0.0166 0.0332 0.0046  0.02

## Properties
Formation energy without anion corrections (eV/f.u.): -16.34

***

LaCe2Si2Ni2: relaxed, PBE-GGA.

a b c (Å): 4.1683 4.1683 9.5534
angles (deg): 77.40 77.40 60.00
Each line ends with the local moment (μB).
Positions (direct):
1 La 0.0000 0.0000 0.0000  0.00
2 Ce 0.1378 0.1378 0.5865  0.14
3 Ce 0.8622 0.8622 0.4135  0.14
4 Si 0.7422 0.7422 0.7734  0.00
5 Si 0.2578 0.2578 0.2266  0.00
6 Ni 0.5885 0.5885 0.2344  -0.01
7 Ni 0.4115 0.4115 0.7656  -0.01

## Properties
Formation energy without anion corrections (eV/f.u.): -4.58

***

LaCeSi2Ni2: relaxed, PBE-GGA.

a b c (Å): 4.0834 4.0834 8.1928
angles (deg): 90.00 90.00 120.00
Positions (direct):
1 La 0.0000 0.0000 0.0000
2 Ce 0.0000 0.0000 0.5000
3 Si 0.6667 0.3333 0.2620
4 Si 0.3333 0.6667 0.7380
5 Ni 0.6667 0.3333 0.7360
6 Ni 0.3333 0.6667 0.2640

## Properties
Formation energy without anion corrections (eV/f.u.): -4.39

***

LaCeZnNi: relaxed, PBE-GGA.

a b c (Å): 5.0872 5.0872 5.0872
angles (deg): 60.00 60.00 60.00
Each line ends with the local moment (μB).
Positions (direct):
1 Ni 0.7500 0.7500 0.7500  -0.06
2 Zn 0.2500 0.2500 0.2500  0.00
3 Ce 0.5000 0.5000 0.5000  0.53
4 La 0.0000 0.0000 0.0000  0.02

## Properties
ΔE_f (meV/atom): -175

***

LaCeO: relaxed, PBE-GGA.

a b c (Å): 3.7046 3.7046 6.0454
angles (deg): 90.00 90.00 120.00
Each line ends with the local moment (μB).
Positions (direct):
1 O 0.6667 0.3333 0.3504  0.02
2 Ce 0.3333 0.6667 0.5530  0.90
3 La 0.0000 0.0000 0.0967  0.21

## Properties
Formation energy without anion corrections (eV/f.u.): -5.02

***

La2CeO5: relaxed, PBE-GGA.

a b c (Å): 5.7647 6.8214 8.0368
angles (deg): 108.20 90.00 115.00
Positions (direct):
1 La 0.6435 0.3457 0.3320
2 La 0.2978 0.6543 0.1680
3 La 0.7022 0.3457 0.8320
4 La 0.3565 0.6543 0.6680
5 Ce 0.0000 0.0000 0.0000
6 Ce 0.0000 0.0000 0.5000
7 O 0.9107 0.3200 0.1078
8 O 0.8940 0.2755 0.5255
9 O 0.3815 0.2755 0.0255
10 O 0.5907 0.6800 0.3922
11 O 0.4093 0.3200 0.6078
12 O 0.2006 0.0000 0.2500
13 O 0.6185 0.7245 0.9745
14 O 0.1060 0.7245 0.4745
15 O 0.0893 0.6800 0.8922
16 O 0.7994 0.0000 0.7500

## Properties
Formation energy without anion corrections (eV/f.u.): -27.48

***

Spin magnetization across the listed records, respectively: 0.2 0.3 0.0 0.6 2.0 0.0 μB/f.u..